1.
The following is a GGA-PBE calculation of crystalline EuThNi2 at its relaxed geometry, from the Alexandria database. Values from VASP.

The structure in Quantum ESPRESSO input format:
```
&SYSTEM
  ibrav = 0, nat = 4, ntyp = 3
/
ATOMIC_SPECIES
Eu 151.96 Eu.upf
Ni 58.69 Ni.upf
Th 232.04 Th.upf
CELL_PARAMETERS angstrom
3.539 0.000 0.000
0.000 3.539 0.000
0.000 0.000 7.080
ATOMIC_POSITIONS crystal
Eu 0.500 0.500 0.500
Ni 0.000 0.000 0.198
Ni 0.000 0.000 0.802
Th 0.500 0.500 0.000
```

Energy of formation from the pure elements ... -0.26 eV/atom
Space-group type ... P4/mmm
Raw total energy ... -0.27833 hartree per atom
Size of the total moment ... 7.1 μB per cell

2.
The following is a GGA-PBE calculation of crystalline EuTh2Ni at its relaxed geometry, from the Alexandria database. Values from VASP.

The structure in Quantum ESPRESSO input format:
```
&SYSTEM
  ibrav = 0, nat = 4, ntyp = 3
/
ATOMIC_SPECIES
Ni 58.69 Ni.upf
Th 232.04 Th.upf
Eu 151.96 Eu.upf
CELL_PARAMETERS angstrom
3.748 0.000 0.000
1.874 3.246 0.000
1.874 1.082 10.478
ATOMIC_POSITIONS crystal
Ni 0.500 0.500 0.500
Th 0.888 0.888 0.335
Eu 0.000 0.000 0.000
Th 0.112 0.112 0.665
```

Energy of formation from the pure elements ... 0.10 eV/atom
Space-group type ... R-3m
Raw total energy ... -0.28013 hartree per atom
Size of the total moment ... 7.7 μB per cell

What is the raw total energy in the second record? -0.28013 hartree per atom

The lowest size of the total moment belongs to which entry? EuThNi2

The lowest size of the total moment belongs to which entry? EuThNi2

What is the energy of formation from the pure elements in the second record? 0.10 eV/atom